Entry 1:
{
  "formula": "MnFeAs",
  "functional": "PBE-GGA",
  "state": "optimized geometry",
  "sg": "P4/nmm, No. 129",
  "formation_enthalpy_0k_ev_per_atom": -0.143,
  "lattice": [[3.710, 0.000, 0.000], [0.000, 3.710, 0.000], [0.000, 0.000, 5.895]],
  "species": ["Mn", "Mn", "Fe", "Fe", "As", "As"],
  "fractional_positions": [[0.250, 0.250, 0.178], [0.750, 0.750, 0.822], [0.250, 0.750, 0.500], [0.750, 0.250, 0.500], [0.250, 0.250, 0.752], [0.750, 0.750, 0.248]]
}

Entry 2:
{
  "formula": "Ta3Cu",
  "functional": "PBE-GGA",
  "state": "optimized geometry",
  "sg": "Fm-3m, No. 225",
  "formation_enthalpy_0k_ev_per_atom": 0.192,
  "lattice": [[0.000, 3.232, 3.232], [3.232, 0.000, 3.232], [3.232, 3.232, 0.000]],
  "species": ["Ta", "Ta", "Ta", "Cu"],
  "fractional_positions": [[0.000, 0.000, 0.000], [0.250, 0.250, 0.250], [0.750, 0.750, 0.750], [0.500, 0.500, 0.500]]
}

Entry 3:
{
  "formula": "Ga10IrRh4",
  "functional": "PBE-GGA",
  "state": "optimized geometry",
  "sg": "R-3m, No. 166",
  "formation_enthalpy_0k_ev_per_atom": -0.447,
  "lattice": [[2.112, 1.219, 16.720], [-2.112, 1.219, 16.720], [0.000, -2.439, 16.720]],
  "species": ["Ga", "Ga", "Ga", "Ga", "Ga", "Ga", "Ga", "Ga", "Ga", "Ga", "Ir", "Rh", "Rh", "Rh", "Rh"],
  "fractional_positions": [[0.049, 0.049, 0.049], [0.151, 0.151, 0.151], [0.249, 0.249, 0.249], [0.351, 0.351, 0.351], [0.449, 0.449, 0.449], [0.551, 0.551, 0.551], [0.649, 0.649, 0.649], [0.751, 0.751, 0.751], [0.849, 0.849, 0.849], [0.951, 0.951, 0.951], [0.500, 0.500, 0.500], [0.100, 0.100, 0.100], [0.300, 0.300, 0.300], [0.700, 0.700, 0.700], [0.900, 0.900, 0.900]]
}

Entry 4:
{
  "formula": "PmSm2Y2Tm",
  "functional": "PBE-GGA",
  "state": "optimized geometry",
  "sg": "Pnnm, No. 58",
  "formation_enthalpy_0k_ev_per_atom": 0.281,
  "lattice": [[6.664, 0.000, 0.000], [0.000, 17.886, 0.000], [0.000, 0.000, 3.389]],
  "species": ["Pm", "Pm", "Sm", "Sm", "Sm", "Sm", "Y", "Y", "Y", "Y", "Tm", "Tm"],
  "fractional_positions": [[0.000, 0.000, 0.000], [0.500, 0.500, 0.500], [0.236, 0.319, 0.000], [0.264, 0.819, 0.500], [0.736, 0.181, 0.500], [0.764, 0.681, 0.000], [0.233, 0.149, 0.500], [0.267, 0.649, 0.000], [0.733, 0.351, 0.000], [0.767, 0.851, 0.500], [0.000, 0.500, 0.000], [0.500, 0.000, 0.500]]
}

Entry 5:
{
  "formula": "OsI2N2",
  "functional": "PBE-GGA",
  "state": "optimized geometry",
  "e_form_raw_kj_per_mol_atoms": 116.0,
  "sg": "P4/mmm, No. 123",
  "de_polymorph_ev_per_atom": 0.000,
  "lattice": [[4.031, 0.000, 0.000], [0.000, 4.031, 0.000], [0.000, 0.000, 5.958]],
  "species": ["Os", "I", "I", "N", "N"],
  "fractional_positions": [[0.000, 0.000, 0.000], [0.000, 0.000, 0.500], [0.500, 0.500, 0.500], [0.000, 0.500, 0.000], [0.500, 0.000, 0.000]]
}

Entry 6:
{
  "formula": "Nd3Dy2Pb4",
  "functional": "PBE-GGA",
  "state": "optimized geometry",
  "sg": "C2/m, No. 12",
  "formation_enthalpy_0k_ev_per_atom": -0.472,
  "de_polymorph_ev_per_atom": 0.000,
  "lattice": [[8.295, -2.564, 0.000], [8.295, 2.564, 0.000], [-1.811, 0.000, 6.672]],
  "species": ["Nd", "Nd", "Nd", "Dy", "Dy", "Pb", "Pb", "Pb", "Pb"],
  "fractional_positions": [[0.000, 0.000, 0.000], [0.118, 0.118, 0.580], [0.882, 0.882, 0.420], [0.333, 0.333, 0.923], [0.667, 0.667, 0.077], [0.245, 0.245, 0.284], [0.494, 0.494, 0.716], [0.506, 0.506, 0.284], [0.755, 0.755, 0.716]]
}